! GeSe2IN | Alexandria via LeMat-Bulk | GGA-PBEsol | optimized geometry; values from VASP
! Spin magnetization in μB/atom: 0.000
! Raw total energy in eV per atom: -3.911
! Theoretical density in g/cm³: 6.245
&SYSTEM
  ibrav = 0, nat = 5, ntyp = 4
/
ATOMIC_SPECIES
Ge 72.64 Ge.upf
Se 78.96 Se.upf
I 126.90 I.upf
N 14.01 N.upf
CELL_PARAMETERS angstrom
5.241 0.000 0.000
0.000 5.241 0.000
0.000 0.000 3.597
ATOMIC_POSITIONS angstrom
Ge 0.000 0.000 0.000
Se 0.000 2.620 0.000
Se 2.620 0.000 0.000
I 2.620 2.620 1.798
N 0.000 0.000 1.798

---

! SnGeIN2 | Alexandria via LeMat-Bulk | GGA-PBEsol | optimized geometry; values from VASP
! Spin magnetization in μB/atom: 0.166
! Raw total energy in eV per atom: -4.305
! Offset from the most stable computed form in meV per atom: 97.3
! Theoretical density in g/cm³: 5.644
&SYSTEM
  ibrav = 0, nat = 5, ntyp = 4
/
ATOMIC_SPECIES
Sn 118.71 Sn.upf
Ge 72.64 Ge.upf
I 126.90 I.upf
N 14.01 N.upf
CELL_PARAMETERS angstrom
4.138 0.000 0.000
0.000 4.138 0.000
0.000 0.000 5.949
ATOMIC_POSITIONS angstrom
Sn 0.000 0.000 0.000
Ge 2.069 2.069 2.975
I 0.000 0.000 2.975
N 0.000 2.069 0.000
N 2.069 0.000 0.000

---

! SnGeIN2 | Alexandria via LeMat-Bulk | GGA-PBEsol | optimized geometry; values from VASP
! Spin magnetization in μB/atom: 0.131
! Raw total energy in eV per atom: -4.402
! Offset from the most stable computed form in meV per atom: 0.0
! Theoretical density in g/cm³: 6.292
&SYSTEM
  ibrav = 0, nat = 5, ntyp = 4
/
ATOMIC_SPECIES
Sn 118.71 Sn.upf
Ge 72.64 Ge.upf
I 126.90 I.upf
N 14.01 N.upf
CELL_PARAMETERS angstrom
4.080 0.000 0.000
0.000 4.080 0.000
0.000 0.000 5.490
ATOMIC_POSITIONS angstrom
Sn 0.000 0.000 0.000
Ge 2.040 2.040 2.745
I 2.040 2.040 0.000
N 0.000 2.040 2.745
N 2.040 0.000 2.745

---

! TaGeI2N | Alexandria via LeMat-Bulk | GGA-PBEsol | optimized geometry; values from VASP
! Spin magnetization in μB/atom: 0.000
! Raw total energy in eV per atom: -5.632
! Theoretical density in g/cm³: 7.177
&SYSTEM
  ibrav = 0, nat = 5, ntyp = 4
/
ATOMIC_SPECIES
Ta 180.95 Ta.upf
Ge 72.64 Ge.upf
I 126.90 I.upf
N 14.01 N.upf
CELL_PARAMETERS angstrom
5.573 0.000 0.000
0.000 5.573 0.000
0.000 0.000 3.884
ATOMIC_POSITIONS angstrom
Ta 0.000 0.000 0.000
Ge 2.787 2.787 1.942
I 0.000 2.787 0.000
I 2.787 0.000 0.000
N 0.000 0.000 1.942